1.
The following is a PBE-GGA calculation of Cs2Tl12Se7 after structural relaxation, from the Alexandria database.

a b c (Å): 6.1175 11.9446 11.9446
angles (deg): 120.00 90.00 90.00
Fractional positions:
Tl: 0.7707 0.8330 0.0765
Tl: 0.2329 0.4433 0.3800
Tl: 0.7671 0.5567 0.6200
Se: 0.5798 0.1331 0.7115
Se: 0.4202 0.8669 0.2885
Se: 0.5798 0.5784 0.8669
Tl: 0.7707 0.9235 0.7565
Cs: 0.8072 0.6667 0.3333
Se: 0.5000 0.0000 0.0000
Cs: 0.1928 0.3333 0.6667
Tl: 0.2293 0.1670 0.9235
Tl: 0.7707 0.2435 0.1670
Tl: 0.2329 0.9367 0.5567
Tl: 0.7671 0.0633 0.4433
Tl: 0.7671 0.3800 0.9367
Tl: 0.2293 0.0765 0.2435
Se: 0.5798 0.2885 0.4216
Se: 0.4202 0.7115 0.5784
Tl: 0.2329 0.6200 0.0633
Tl: 0.2293 0.7565 0.8330
Se: 0.4202 0.4216 0.1331

Computed properties:
Its size of the total moment is 0.00 Bohr magnetons per cell. Its symmetry is P-3 (147). As for the formation energy from raw total energies: -10.25 eV per formula unit.



2.
The following is a PBE-GGA calculation of CsTl5Se4 after structural relaxation, from the Alexandria database.

a b c (Å): 7.5567 8.6518 12.2477
angles (deg): 90.00 90.00 90.00
Fractional positions:
Se: 0.0524 0.0000 0.7059
Tl: 0.2323 0.0000 0.5000
Tl: 0.2763 0.2890 0.7479
Cs: 0.8904 0.5000 0.5000
Tl: 0.2763 0.7110 0.2521
Tl: 0.7237 0.2110 0.2479
Se: 0.0524 0.0000 0.2941
Tl: 0.7677 0.5000 0.0000
Tl: 0.7237 0.2110 0.7521
Tl: 0.7237 0.7890 0.7521
Tl: 0.2763 0.2890 0.2521
Tl: 0.2763 0.7110 0.7479
Se: 0.6657 0.7921 0.0000
Se: 0.9476 0.5000 0.7941
Se: 0.9476 0.5000 0.2059
Se: 0.6657 0.2079 0.0000
Se: 0.3343 0.2921 0.5000
Se: 0.3343 0.7079 0.5000
Cs: 0.1096 0.0000 0.0000
Tl: 0.7237 0.7890 0.2479

Computed properties:
Its size of the total moment is 0.00 Bohr magnetons per cell. Its symmetry is Pmmn (59). As for the formation energy from raw total energies: -4.32 eV per formula unit.